1.
YMgS2: relaxed, PBE.

a = 3.988 Å, b = 3.988 Å, c = 23.769 Å
α = 90.00°, β = 90.00°, γ = 120.00°
Sites, in units of the cell vectors:
Y 0.000 0.000 0.000
Y 0.333 0.667 0.667
Y 0.667 0.333 0.333
Mg 0.000 0.000 0.500
Mg 0.333 0.667 0.167
Mg 0.667 0.333 0.833
S 0.000 0.000 0.396
S 0.000 0.000 0.604
S 0.333 0.667 0.063
S 0.333 0.667 0.271
S 0.667 0.333 0.729
S 0.667 0.333 0.937

Output
Calculated volume in Å³ per cell: 327.33
Raw formation energy in eV/atom: -1.398

***

2.
YZr2Tc: relaxed, PBE.

a = 4.922 Å, b = 4.922 Å, c = 3.515 Å
α = 90.00°, β = 90.00°, γ = 90.00°
Sites, in units of the cell vectors:
Y 0.000 0.000 0.000
Zr 0.000 0.500 0.500
Zr 0.500 0.000 0.500
Tc 0.500 0.500 0.000

Output
Calculated volume in Å³ per cell: 85.13
DFT formation energy in meV per atom: 166
ΔE to the lowest computed polymorph in meV per atom: 292

***

3.
SrAcSe2F: relaxed, PBE.

a = 4.349 Å, b = 4.349 Å, c = 15.205 Å
α = 90.00°, β = 90.00°, γ = 90.00°
Sites, in units of the cell vectors:
Sr 0.250 0.250 0.087
Sr 0.750 0.750 0.913
Ac 0.250 0.250 0.633
Ac 0.750 0.750 0.367
Se 0.250 0.250 0.409
Se 0.250 0.250 0.820
Se 0.750 0.750 0.180
Se 0.750 0.750 0.591
F 0.250 0.750 0.000
F 0.750 0.250 0.000

Output
Calculated volume in Å³ per cell: 287.63
Raw formation energy in eV/atom: -2.502

***

4.
Sm3Mg2Tl: relaxed, PBE.

a = 3.851 Å, b = 3.851 Å, c = 11.592 Å
α = 90.00°, β = 90.00°, γ = 90.00°
Sites, in units of the cell vectors:
Sm 0.000 0.000 0.000
Sm 0.000 0.000 0.330
Sm 0.000 0.000 0.670
Mg 0.500 0.500 0.162
Mg 0.500 0.500 0.838
Tl 0.500 0.500 0.500

Output
Calculated volume in Å³ per cell: 171.94
DFT formation energy in meV per atom: -188
ΔE to the lowest computed polymorph in meV per atom: 15

***

5.
HoFe2Co3: relaxed, PBE.

a = 6.124 Å, b = 6.124 Å, c = 4.655 Å
α = 90.00°, β = 90.00°, γ = 80.64°
Sites, in units of the cell vectors:
Ho 0.190 0.810 0.750
Ho 0.810 0.190 0.250
Fe 0.281 0.281 0.000
Fe 0.281 0.281 0.500
Fe 0.719 0.719 0.000
Fe 0.719 0.719 0.500
Co 0.040 0.563 0.250
Co 0.437 0.563 0.250
Co 0.437 0.960 0.250
Co 0.563 0.040 0.750
Co 0.563 0.437 0.750
Co 0.960 0.437 0.750

Output
Calculated volume in Å³ per cell: 172.26
DFT formation energy in meV per atom: -17